one:
# LaZrZn2, single point on PBEsol structure, DFT meta-GGA SCAN
# Symmetry: P4/mmm, No. 123
# Crystal system: tetragonal
# N(E_F), states/eV/atom: 0.75
data_LaZrZn2
_space_group_name_H-M_alt 'P 1'
_space_group_IT_number 1
_cell_length_a 3.420
_cell_length_b 3.420
_cell_length_c 7.179
_cell_angle_alpha 90.00
_cell_angle_beta 90.00
_cell_angle_gamma 90.00
loop_
_space_group_symop_operation_xyz
'x,y,z'
loop_
_atom_site_label
_atom_site_fract_x
_atom_site_fract_y
_atom_site_fract_z
Zr1 0.500 0.500 0.000
La1 0.500 0.500 0.500
Zn1 0.000 0.000 0.207
Zn2 0.000 0.000 0.793

two:
# LaZrZn2, single point on PBEsol structure, DFT meta-GGA SCAN
# Symmetry: Cmmm, No. 65
# Crystal system: orthorhombic
# N(E_F), states/eV/atom: 0.70
data_LaZrZn2
_space_group_name_H-M_alt 'P 1'
_space_group_IT_number 1
_cell_length_a 3.082
_cell_length_b 5.228
_cell_length_c 5.228
_cell_angle_alpha 102.72
_cell_angle_beta 90.00
_cell_angle_gamma 90.00
loop_
_space_group_symop_operation_xyz
'x,y,z'
loop_
_atom_site_label
_atom_site_fract_x
_atom_site_fract_y
_atom_site_fract_z
Zn1 0.000 0.000 0.500
La1 0.500 0.500 0.500
Zn2 0.000 0.500 0.000
Zr1 0.500 0.000 0.000

three:
# LaZrZn2, single point on PBEsol structure, DFT meta-GGA SCAN
# Symmetry: I-4m2, No. 119
# Crystal system: tetragonal
# N(E_F), states/eV/atom: 1.02
data_LaZrZn2
_space_group_name_H-M_alt 'P 1'
_space_group_IT_number 1
_cell_length_a 4.228
_cell_length_b 4.228
_cell_length_c 5.500
_cell_angle_alpha 112.60
_cell_angle_beta 112.60
_cell_angle_gamma 90.00
loop_
_space_group_symop_operation_xyz
'x,y,z'
loop_
_atom_site_label
_atom_site_fract_x
_atom_site_fract_y
_atom_site_fract_z
Zr1 0.500 0.500 0.000
La1 0.250 0.750 0.500
Zn1 0.750 0.250 0.500
Zn2 0.000 0.000 0.000

Short version: one is the most stable of them.

one:
# LaZr, single point on PBEsol structure, DFT meta-GGA SCAN
# Symmetry: R-3m, No. 166
# Crystal system: trigonal
# N(E_F), states/eV/atom: 1.33
data_LaZr
_space_group_name_H-M_alt 'P 1'
_space_group_IT_number 1
_cell_length_a 3.377
_cell_length_b 3.377
_cell_length_c 5.725
_cell_angle_alpha 72.85
_cell_angle_beta 72.85
_cell_angle_gamma 60.00
loop_
_space_group_symop_operation_xyz
'x,y,z'
loop_
_atom_site_label
_atom_site_fract_x
_atom_site_fract_y
_atom_site_fract_z
La1 0.000 0.000 0.000
Zr1 0.500 0.500 0.500

two:
# LaZr, single point on PBEsol structure, DFT meta-GGA SCAN
# Symmetry: Fd-3m, No. 227
# Crystal system: cubic
# N(E_F), states/eV/atom: 2.14
data_LaZr
_space_group_name_H-M_alt 'P 1'
_space_group_IT_number 1
_cell_length_a 5.314
_cell_length_b 5.314
_cell_length_c 5.314
_cell_angle_alpha 60.00
_cell_angle_beta 60.00
_cell_angle_gamma 60.00
loop_
_space_group_symop_operation_xyz
'x,y,z'
loop_
_atom_site_label
_atom_site_fract_x
_atom_site_fract_y
_atom_site_fract_z
La1 0.750 0.750 0.750
Zr1 0.250 0.250 0.250
Zr2 0.000 0.000 0.000
La2 0.500 0.500 0.500

Short version: one is the most stable of them.

one:
# LaZr, single point on PBEsol structure, DFT meta-GGA SCAN
# Symmetry: P-3m1, No. 164
# Crystal system: trigonal
# N(E_F), states/eV/atom: 1.29
data_LaZr
_space_group_name_H-M_alt 'P 1'
_space_group_IT_number 1
_cell_length_a 3.327
_cell_length_b 3.327
_cell_length_c 11.288
_cell_angle_alpha 90.00
_cell_angle_beta 90.00
_cell_angle_gamma 120.00
loop_
_space_group_symop_operation_xyz
'x,y,z'
loop_
_atom_site_label
_atom_site_fract_x
_atom_site_fract_y
_atom_site_fract_z
La1 0.667 0.333 0.145
Zr1 0.667 0.333 0.608
La2 0.333 0.667 0.855
Zr2 0.333 0.667 0.392

two:
# LaZr, single point on PBEsol structure, DFT meta-GGA SCAN
# Symmetry: Imma, No. 74
# Crystal system: orthorhombic
# N(E_F), states/eV/atom: 1.14
data_LaZr
_space_group_name_H-M_alt 'P 1'
_space_group_IT_number 1
_cell_length_a 3.383
_cell_length_b 5.544
_cell_length_c 6.570
_cell_angle_alpha 114.96
_cell_angle_beta 104.92
_cell_angle_gamma 90.00
loop_
_space_group_symop_operation_xyz
'x,y,z'
loop_
_atom_site_label
_atom_site_fract_x
_atom_site_fract_y
_atom_site_fract_z
La1 0.378 0.128 0.756
La2 0.622 0.872 0.244
Zr1 0.860 0.610 0.721
Zr2 0.140 0.390 0.279

Short version: one is the most stable of them.

one:
# Li, single point on PBEsol structure, DFT meta-GGA SCAN
# Symmetry: R-3m, No. 166
# Crystal system: trigonal
# N(E_F), states/eV/atom: 0.45
data_Li
_space_group_name_H-M_alt 'P 1'
_space_group_IT_number 1
_cell_length_a 7.826
_cell_length_b 7.826
_cell_length_c 7.826
_cell_angle_alpha 22.13
_cell_angle_beta 22.13
_cell_angle_gamma 22.13
loop_
_space_group_symop_operation_xyz
'x,y,z'
loop_
_atom_site_label
_atom_site_fract_x
_atom_site_fract_y
_atom_site_fract_z
Li1 0.778 0.778 0.778
Li2 0.222 0.222 0.222
Li3 0.000 0.000 0.000

two:
# Li, single point on PBEsol structure, DFT meta-GGA SCAN
# Symmetry: Fmmm, No. 69
# Crystal system: orthorhombic
# N(E_F), states/eV/atom: 0.46
data_Li
_space_group_name_H-M_alt 'P 1'
_space_group_IT_number 1
_cell_length_a 2.925
_cell_length_b 2.925
_cell_length_c 5.496
_cell_angle_alpha 98.28
_cell_angle_beta 98.28
_cell_angle_gamma 117.30
loop_
_space_group_symop_operation_xyz
'x,y,z'
loop_
_atom_site_label
_atom_site_fract_x
_atom_site_fract_y
_atom_site_fract_z
Li1 0.870 0.870 0.740
Li2 0.130 0.130 0.260

three:
# Li, single point on PBEsol structure, DFT meta-GGA SCAN
# Symmetry: I4_1/amd, No. 141
# Crystal system: tetragonal
# N(E_F), states/eV/atom: 0.42
data_Li
_space_group_name_H-M_alt 'P 1'
_space_group_IT_number 1
_cell_length_a 2.860
_cell_length_b 4.009
_cell_length_c 4.009
_cell_angle_alpha 82.69
_cell_angle_beta 69.10
_cell_angle_gamma 69.10
loop_
_space_group_symop_operation_xyz
'x,y,z'
loop_
_atom_site_label
_atom_site_fract_x
_atom_site_fract_y
_atom_site_fract_z
Li1 0.250 0.500 0.500
Li2 0.500 0.000 0.000

four:
# Li, single point on PBEsol structure, DFT meta-GGA SCAN
# Symmetry: Im-3m, No. 229
# Crystal system: cubic
# N(E_F), states/eV/atom: 0.43
data_Li
_space_group_name_H-M_alt 'P 1'
_space_group_IT_number 1
_cell_length_a 2.961
_cell_length_b 2.961
_cell_length_c 2.961
_cell_angle_alpha 109.47
_cell_angle_beta 109.47
_cell_angle_gamma 109.47
loop_
_space_group_symop_operation_xyz
'x,y,z'
loop_
_atom_site_label
_atom_site_fract_x
_atom_site_fract_y
_atom_site_fract_z
Li1 0.000 0.000 0.000

Short version: one is the most stable of them.